(1)
GaFe3Rh4 | PBE | relaxed

The structure in POSCAR format:
```
GaFe3Rh4
1.0
4.252 0.000 0.000
0.000 4.252 0.000
0.000 0.000 6.046
Ga Fe Rh
1 3 4
Direct
0.000 0.000 0.000
0.000 0.000 0.500
0.500 0.500 0.000
0.500 0.500 0.500
0.000 0.500 0.249
0.000 0.500 0.751
0.500 0.000 0.249
0.500 0.000 0.751
```

Symmetry ... P4/mmm (123)
DFT formation energy ... -187 kJ/mol of formula units
Uncorrected energy ... -7.47 eV/atom
Mass density ... 9858 kg/m³


(2)
CdBr | PBE | relaxed

The structure in POSCAR format:
```
CdBr
1.0
-6.322 6.322 1.921
6.322 -6.322 1.921
6.322 6.322 -1.921
Cd Br
4 4
Direct
0.174 0.293 0.467
0.293 0.826 0.119
0.707 0.174 0.881
0.826 0.707 0.533
0.220 0.512 0.731
0.488 0.220 0.708
0.512 0.780 0.292
0.780 0.488 0.269
```

Symmetry ... I4/m (87)
E_form (uncorrected) ... -0.55 eV per atom
Uncorrected energy ... -1.84 eV/atom
Mass density ... 4158 kg/m³


(3)
Ru2PtCl | PBE | relaxed

The structure in POSCAR format:
```
Ru2PtCl
1.0
2.823 0.000 0.000
0.000 3.492 0.000
-0.008 0.000 6.856
Ru Pt Cl
2 1 1
Direct
0.000 0.000 0.000
0.500 0.500 0.180
0.499 0.500 0.777
0.502 0.000 0.447
```

Symmetry ... Pm (6)
E_form (uncorrected) ... 0.34 eV per atom
Distance to the lowest polymorph of the same formula ... 55.0 meV per atom
Uncorrected energy ... -6.27 eV/atom
Mass density ... 10633 kg/m³


(4)
La2SiNi | PBE | relaxed

The structure in POSCAR format:
```
La2SiNi
1.0
2.120 1.224 5.963
-2.120 1.224 5.963
0.000 -2.448 5.963
La Si Ni
2 1 1
Direct
0.000 0.000 0.000
0.202 0.202 0.202
0.428 0.428 0.428
0.775 0.775 0.775
```

Symmetry ... R3m (160)
E_form (uncorrected) ... -0.51 eV per atom
Uncorrected energy ... -5.78 eV/atom
Mass density ... 6520 kg/m³


(5)
RbYSc2C | PBE | relaxed

The structure in POSCAR format:
```
RbYSc2C
1.0
4.863 0.000 0.000
0.000 4.863 0.000
0.000 0.000 5.461
Rb Y Sc C
1 1 2 1
Direct
0.000 0.000 0.000
0.000 0.000 0.500
0.000 0.500 0.000
0.500 0.000 0.000
0.500 0.500 0.500
```

Symmetry ... P4/mmm (123)
DFT formation energy ... 1290 kJ/mol of formula units
Uncorrected energy ... -3.19 eV/atom
Mass density ... 3552 kg/m³


(6)
MgSi2Pd6 | PBE | relaxed

The structure in POSCAR format:
```
MgSi2Pd6
1.0
4.289 -2.207 0.000
4.289 2.207 0.000
-3.508 0.000 7.130
Mg Si Pd
1 2 6
Direct
0.000 0.000 0.000
0.335 0.335 0.728
0.665 0.665 0.272
0.039 0.039 0.689
0.313 0.313 0.416
0.361 0.361 0.062
0.639 0.639 0.938
0.687 0.687 0.584
0.961 0.961 0.311
```

Symmetry ... C2/m (12)
E_form (uncorrected) ... -0.58 eV per atom
Uncorrected energy ... -5.42 eV/atom
Mass density ... 8843 kg/m³


(7)
Ho4TmCd5 | PBE | relaxed

The structure in POSCAR format:
```
Ho4TmCd5
1.0
3.717 0.000 0.000
0.000 3.717 0.000
0.000 0.000 18.650
Ho Tm Cd
4 1 5
Direct
0.000 0.000 0.100
0.000 0.000 0.301
0.000 0.000 0.699
0.000 0.000 0.900
0.000 0.000 0.500
0.500 0.500 0.000
0.500 0.500 0.200
0.500 0.500 0.402
0.500 0.500 0.598
0.500 0.500 0.800
```

Symmetry ... P4/mmm (123)
DFT formation energy ... -305 kJ/mol of formula units
Uncorrected energy ... -3.05 eV/atom
Mass density ... 8962 kg/m³


(8)
PrTaBeN3 | PBE | relaxed

The structure in POSCAR format:
```
PrTaBeN3
1.0
6.887 0.000 0.000
0.000 3.188 0.000
-1.953 0.000 6.685
Pr Ta Be N
2 2 2 6
Direct
0.198 0.250 0.226
0.802 0.750 0.774
0.336 0.750 0.838
0.664 0.250 0.162
0.079 0.250 0.601
0.921 0.750 0.399
0.123 0.250 0.856
0.173 0.750 0.532
0.454 0.750 0.162
0.546 0.250 0.838
0.827 0.250 0.468
0.877 0.750 0.144
```

Symmetry ... P2_1/m (11)
E_form (uncorrected) ... -1.16 eV per atom
Uncorrected energy ... -8.71 eV/atom
Mass density ... 8438 kg/m³


Please write out number 7 again, unchanged.
Ho4TmCd5 | PBE | relaxed

The structure in POSCAR format:
```
Ho4TmCd5
1.0
3.717 0.000 0.000
0.000 3.717 0.000
0.000 0.000 18.650
Ho Tm Cd
4 1 5
Direct
0.000 0.000 0.100
0.000 0.000 0.301
0.000 0.000 0.699
0.000 0.000 0.900
0.000 0.000 0.500
0.500 0.500 0.000
0.500 0.500 0.200
0.500 0.500 0.402
0.500 0.500 0.598
0.500 0.500 0.800
```

Symmetry ... P4/mmm (123)
DFT formation energy ... -305 kJ/mol of formula units
Uncorrected energy ... -3.05 eV/atom
Mass density ... 8962 kg/m³